# 1
DFT (PBE) results for a geometry-optimized K3SnHg2 structure.

Cell: 7.8865 7.8865 8.6998 Å, 77.97 77.97 83.51°
Closest atoms and distances in Å follow each position.
Fractional coordinates of all 12 atoms:
K (0.3504, 0.6496, 0.2500)  4 Hg 3.61-3.63, 1 Sn 3.62
K (0.6496, 0.3504, 0.7500)  4 Hg 3.61-3.63, 1 Sn 3.62
K (0.1324, 0.2575, 0.0126)  4 Hg 3.63-3.72, 2 Sn 3.66-3.93
K (0.7425, 0.8676, 0.4874)  4 Hg 3.63-3.72, 2 Sn 3.66-3.93
K (0.8676, 0.7425, 0.9874)  4 Hg 3.63-3.72, 2 Sn 3.66-3.93
K (0.2575, 0.1324, 0.5126)  4 Hg 3.63-3.72, 2 Sn 3.66-3.93
Sn (0.6951, 0.3049, 0.2500)  2 Hg 2.81
Sn (0.3049, 0.6951, 0.7500)  2 Hg 2.81
Hg (0.9350, 0.4570, 0.3668)  1 Sn 2.81, 1 Hg 2.95
Hg (0.5430, 0.0650, 0.1332)  1 Sn 2.81, 1 Hg 2.95
Hg (0.4570, 0.9350, 0.8668)  1 Sn 2.81, 1 Hg 2.95
Hg (0.0650, 0.5430, 0.6332)  1 Sn 2.81, 1 Hg 2.95

=====

# 2
DFT (PBE) results for a geometry-optimized K2Sn5Hg3 structure.

Computed properties:
For the energy above the most stable polymorph in this dataset, the calculation gives 0 meV per atom.

Cell: 7.1367 10.0871 10.0871 Å, 74.62 69.28 69.28°
Closest atoms and distances in Å follow each position.
Fractional coordinates of all 20 atoms:
K (0.1217, 0.6368, 0.1198)  6 Hg 3.76-3.89, 10 Sn 3.84-4.03
K (0.6217, 0.1198, 0.6368)  6 Hg 3.76-3.89, 10 Sn 3.84-4.03
K (0.8783, 0.3632, 0.8802)  6 Hg 3.76-3.89, 10 Sn 3.84-4.03
K (0.3783, 0.8802, 0.3632)  6 Hg 3.76-3.89, 10 Sn 3.84-4.03
Sn (0.3699, 0.2551, 0.0052)  3 Hg 2.83-3.00, 2 Sn 3.00
Sn (0.8699, 0.0052, 0.2551)  3 Hg 2.83-3.00, 2 Sn 3.00
Sn (0.6301, 0.7449, 0.9948)  3 Hg 2.83-3.00, 2 Sn 3.00
Sn (0.1301, 0.9948, 0.7449)  3 Hg 2.83-3.00, 2 Sn 3.00
Sn (0.5103, 0.7397, 0.7397)  2 Sn 3.00, 2 Hg 3.03
Sn (0.4897, 0.2603, 0.2603)  2 Sn 3.00, 2 Hg 3.03
Sn (0.7500, 0.5000, 0.5000)  4 Hg 3.05
Sn (0.2500, 0.5000, 0.5000)  4 Hg 3.05
Sn (0.9897, 0.2603, 0.2603)  2 Sn 3.00, 2 Hg 3.03
Sn (0.0103, 0.7397, 0.7397)  2 Sn 3.00, 2 Hg 3.03
Hg (0.3790, 0.4773, 0.7647)  5 Sn 2.83-3.05
Hg (0.8790, 0.7647, 0.4773)  5 Sn 2.83-3.05
Hg (0.6210, 0.5227, 0.2353)  5 Sn 2.83-3.05
Hg (0.1210, 0.2353, 0.5227)  5 Sn 2.83-3.05
Hg (0.2500, 0.0000, 0.0000)  4 Sn 3.00
Hg (0.7500, 0.0000, 0.0000)  4 Sn 3.00

=====

# 3
DFT (PBE) results for a geometry-optimized KSnHg4 structure.

Computed properties:
For the energy above the most stable polymorph in this dataset, the calculation gives 83 meV per atom.

Cell: 6.2145 6.2145 6.2145 Å, 60.00 60.00 60.00°
Closest atoms and distances in Å follow each position.
Fractional coordinates of all 6 atoms:
K (0.0000, 0.0000, 0.0000)  12 Hg 3.64, 4 Sn 3.81
Hg (0.6249, 0.6249, 0.1252)  6 Hg 3.11
Hg (0.6249, 0.1252, 0.6249)  6 Hg 3.11
Hg (0.6249, 0.6249, 0.6249)  6 Hg 3.11
Hg (0.1252, 0.6249, 0.6249)  6 Hg 3.11
Sn (0.2500, 0.2500, 0.2500)  12 Hg 3.64, 4 K 3.81

=====

# 4
DFT (PBE) results for a geometry-optimized K2SnHg7 structure.

Cell: 5.2325 5.2325 11.6987 Å, 90.00 90.00 90.00°
Closest atoms and distances in Å follow each position.
Fractional coordinates of all 10 atoms:
K (0.5000, 0.0000, 0.7522)  15 Hg 3.91-4.31, 2 Sn 3.91
K (0.0000, 0.5000, 0.2478)  15 Hg 3.91-4.31, 2 Sn 3.91
Sn (0.5000, 0.5000, 0.0000)  4 Hg 2.97
Hg (0.0000, 0.5000, 0.8795)  3 Hg 2.89-2.97, 2 Sn 2.97
Hg (0.5000, 0.0000, 0.3679)  5 Hg 2.89-3.04
Hg (0.5000, 0.0000, 0.1205)  3 Hg 2.89-2.97, 2 Sn 2.97
Hg (0.0000, 0.5000, 0.6321)  5 Hg 2.89-3.04
Hg (0.0000, 0.0000, 0.5000)  4 Hg 3.04
Hg (0.0000, 0.0000, 0.0000)  4 Hg 2.97
Hg (0.5000, 0.5000, 0.5000)  4 Hg 3.04

=====

no.,DOS at the Fermi energy (states/eV/atom),energy of formation (eV/atom)
1,0.370,-0.189
2,0.397,-0.157
3,0.342,-0.058
4,0.332,-0.163